Entry 1:
DFT (GGA-PBE) results for a geometry-optimized LaCdAs2 structure.

Values from the calculation:
symmetry: Cm (8)
energy relative to the elements: -2.7 eV/f.u.

Geometry as POSCAR:
```
LaCdAs2
1.0
-4.7648 -0.3443 -3.5250
-2.5876 -4.0413 -3.4957
-3.0056 -1.7486 2.7159
As Cd La
2 1 1
Cartesian
-7.6126 -4.5336 -6.3669
-7.4560 -4.4184 -3.4638
-5.4061 -3.2011 -2.1831
-2.4148 -1.4337 -1.4641
```

---

Entry 2:
DFT (GGA-PBE) results for a geometry-optimized LaCdAs2 structure.

Values from the calculation:
symmetry: P4/mmm (123)
energy relative to the elements: -2.3 eV/f.u.

Geometry as POSCAR:
```
LaCdAs2
1.0
4.1164 0.0000 0.0000
0.0000 4.1072 0.0000
0.0000 0.0000 6.6194
As Cd La
2 1 1
Cartesian
0.0000 0.0000 6.2066
0.0000 0.0000 3.7225
2.0582 2.0536 1.6549
2.0582 2.0536 4.9646
```

---

Entry 3:
DFT (GGA-PBE) results for a geometry-optimized La2Cd2As structure.

Values from the calculation:
distance to the lowest polymorph of the same formula: 130.7 meV per atom
symmetry: P4/mbm (127)
energy relative to the elements: -2.0 eV/f.u.

Geometry as POSCAR:
```
La2Cd2As
1.0
-4.1027 -4.4231 4.6867
-1.8399 -4.5207 -5.8770
3.9347 -2.7299 0.8680
As Cd La
2 4 4
Cartesian
0.0000 0.0000 0.0000
-2.9713 -4.4719 -0.5952
-3.1065 -5.5511 -3.3765
-4.7238 -6.6963 0.3532
-2.8361 -3.3926 2.1862
-1.2188 -2.2474 -1.5435
0.0409 -5.1401 -2.7061
-2.3071 -8.0806 -1.3104
-2.0487 -6.5335 2.3838
0.2993 -3.5930 0.9881
```

---

Entry 4:
DFT (GGA-PBE) results for a geometry-optimized LaCd2As structure.

Values from the calculation:
symmetry: P4/mmm (123)
energy relative to the elements: -2.4 eV/f.u.

Geometry as POSCAR:
```
LaCd2As
1.0
-1.4228 -1.2892 5.0137
3.2670 -2.8737 0.1881
2.6385 3.1008 1.5461
As Cd La
1 2 1
Cartesian
0.6079 0.9058 3.2799
0.0000 0.0000 0.0000
2.9527 0.1135 0.8671
0.9221 -2.0815 2.6009
```

---

Entry 5:
DFT (GGA-PBE) results for a geometry-optimized LaCdAs2 structure.

Values from the calculation:
symmetry: Imm2 (44)
energy relative to the elements: -2.4 eV/f.u.

Geometry as POSCAR:
```
LaCdAs2
1.0
6.0841 -0.0055 -0.0519
3.0997 5.2353 0.0519
-4.5652 -2.6618 3.0154
As Cd La
2 1 1
Cartesian
9.1788 5.2269 0.0000
3.0556 -0.0261 1.4818
4.5949 2.6166 0.0000
1.5649 2.5951 1.5337
```

---

Entry 6:
DFT (GGA-PBE) results for a geometry-optimized LaCdAs structure.

Values from the calculation:
distance to the lowest polymorph of the same formula: 316.4 meV per atom
symmetry: Fmm2 (42)
energy relative to the elements: -1.7 eV/f.u.

Geometry as POSCAR:
```
LaCdAs
1.0
-2.4018 -2.9339 -5.3499
0.7081 -4.6903 -4.1863
-2.6909 -2.4422 0.9509
As Cd La
1 1 1
Cartesian
-1.6955 -7.6146 -9.5169
-2.3378 -4.2771 -2.7625
-2.0450 -5.7988 -5.8422
```

---

Entry 7:
DFT (GGA-PBE) results for a geometry-optimized LaCdAs2 structure.

Values from the calculation:
symmetry: I4/mmm (139)
energy relative to the elements: -2.1 eV/f.u.

Geometry as POSCAR:
```
LaCdAs2
1.0
-1.6304 -0.8132 -5.2532
4.0959 -2.6049 -2.7119
-2.5084 -1.1688 4.8226
As Cd La
2 1 1
Cartesian
0.0002 -0.0002 -0.0005
1.2326 -1.7088 -3.9820
-1.4531 -1.8455 -2.2066
1.4101 -2.7413 -0.9359
```

---

Entry 8:
DFT (GGA-PBE) results for a geometry-optimized La4CdAs structure.

Values from the calculation:
symmetry: F-43m (216)
energy relative to the elements: 0.8 eV/f.u.

Geometry as POSCAR:
```
La4CdAs
1.0
-5.4718 2.3254 2.3891
-1.3364 6.2428 -0.5449
-4.6504 1.9476 -3.9543
La Cd As
4 1 1
Cartesian
-7.0191 5.1077 0.3879
-6.6128 4.9208 -2.7503
-4.9733 7.0458 -1.0636
-4.3121 3.9573 -0.7941
0.0000 0.0000 0.0000
-8.5940 7.8869 -1.5826
```

---

Entry 9:
DFT (GGA-PBE) results for a geometry-optimized La2Cd2As structure.

Values from the calculation:
distance to the lowest polymorph of the same formula: 442.7 meV per atom
symmetry: I4/mmm (139)
energy relative to the elements: -0.4 eV/f.u.

Geometry as POSCAR:
```
La2Cd2As
1.0
1.6688 -5.1572 -2.4187
0.3581 -1.8681 5.6226
-5.2118 2.2288 -1.7611
La Cd As
2 2 1
Cartesian
-1.9201 -1.5760 2.7317
-1.2648 -3.2205 -1.2889
0.6864 -2.3791 1.0850
1.3405 -4.6462 2.1189
0.0000 0.0000 0.0000
```

---

Entry 10:
DFT (GGA-PBE) results for a geometry-optimized La2CdAs structure.

Values from the calculation:
distance to the lowest polymorph of the same formula: 451.4 meV per atom
symmetry: R3m (160)
energy relative to the elements: -1.5 eV/f.u.

Geometry as POSCAR:
```
La2CdAs
1.0
-7.7349 -3.5043 -1.6496
-5.4267 -6.7355 -0.1142
-7.2510 -3.9654 2.5550
As Cd La
1 1 2
Cartesian
-9.9502 -6.9244 0.3857
-15.7524 -10.9621 0.6106
-0.3321 -0.2311 0.0129
-4.5842 -3.1902 0.1777
```

---

Entry 11:
DFT (GGA-PBE) results for a geometry-optimized LaCd2As structure.

Values from the calculation:
symmetry: I-4m2 (119)
energy relative to the elements: -1.6 eV/f.u.

Geometry as POSCAR:
```
LaCd2As
1.0
5.4136 -0.1038 0.0000
0.9493 5.3308 0.0000
-3.1814 -2.6135 3.5165
As Cd La
1 2 1
Cartesian
2.7068 -0.0519 1.7583
0.0000 0.0000 0.0000
0.4746 2.6654 1.7583
3.1814 2.6135 0.0000
```

---

Entry 12:
DFT (GGA-PBE) results for a geometry-optimized LaCdAs3 structure.

Values from the calculation:
distance to the lowest polymorph of the same formula: 0.0 meV per atom
symmetry: Pm-3m (221)
energy relative to the elements: 0.1 eV/f.u.

Geometry as POSCAR:
```
LaCdAs3
1.0
-2.1087 -3.7096 -2.8355
3.8341 0.4000 -3.3747
2.6649 -3.5110 2.6115
As Cd La
3 1 1
Cartesian
1.9170 0.2000 -1.6873
1.3324 -1.7555 1.3057
-1.0544 -1.8548 -1.4178
0.0000 0.0000 0.0000
2.1951 -3.4103 -1.7994
```